VASP calculation (PBE) on a relaxed structure of Nb3BiTe.

abc: 5.073 5.073 5.073
angles: 90.00 90.00 90.00
Positions (direct):
1 Nb 0.000 0.500 0.000
2 Nb 0.000 0.000 0.500
3 Nb 0.500 0.000 0.000
4 Te 0.000 0.000 0.000
5 Bi 0.500 0.500 0.500

distance to the lowest polymorph of the same formula = 0.6593 eV/atom
E_form (uncorrected) = 1.21 eV per atom
D(E_F) = 7.3 states/eV/f.u.
mass density = 7.83 Mg/m³

VASP calculation (PBE) on a relaxed structure of NbBiTe2.

abc: 7.461 7.461 7.416
angles: 59.80 59.80 90.00
Positions (direct):
1 Nb 0.500 0.500 0.000
2 Nb 0.250 0.750 0.500
3 Te 0.578 0.125 0.250
4 Te 0.172 0.625 0.250
5 Te 0.375 0.422 0.750
6 Te 0.875 0.828 0.750
7 Bi 0.000 0.000 0.000
8 Bi 0.750 0.250 0.500

E_form (uncorrected) = 0.36 eV per atom
D(E_F) = 2.5 states/eV/f.u.
mass density = 6.38 Mg/m³

VASP calculation (PBE) on a relaxed structure of NbBiTe2.

abc: 3.814 6.782 9.678
angles: 94.16 90.00 106.33
Positions (direct):
1 Nb 0.088 0.176 0.956
2 Nb 0.912 0.824 0.044
3 Bi 0.658 0.317 0.454
4 Bi 0.342 0.683 0.546
5 Te 0.699 0.397 0.132
6 Te 0.442 0.885 0.258
7 Te 0.558 0.115 0.742
8 Te 0.301 0.603 0.868

E_form (uncorrected) = -0.07 eV per atom
D(E_F) = 2.3 states/eV/f.u.
mass density = 7.72 Mg/m³

VASP calculation (PBE) on a relaxed structure of Nb2BiTe.

abc: 6.573 6.573 7.841
angles: 65.22 65.22 90.00
Positions (direct):
1 Nb 0.616 0.125 0.250
2 Nb 0.134 0.625 0.250
3 Nb 0.375 0.384 0.750
4 Nb 0.875 0.866 0.750
5 Te 0.500 0.500 0.000
6 Te 0.250 0.750 0.500
7 Bi 0.000 0.000 0.000
8 Bi 0.750 0.250 0.500

distance to the lowest polymorph of the same formula = 0.6980 eV/atom
E_form (uncorrected) = 0.84 eV per atom
D(E_F) = 3.5 states/eV/f.u.
mass density = 6.36 Mg/m³

VASP calculation (PBE) on a relaxed structure of Nb4BiTe8.

abc: 7.359 7.356 9.664
angles: 89.80 112.62 119.95
Positions (direct):
1 Nb 0.000 0.000 0.000
2 Nb 0.000 0.500 0.000
3 Nb 0.500 0.500 0.000
4 Nb 0.500 0.000 0.000
5 Bi 0.000 0.500 0.500
6 Te 0.476 0.737 0.214
7 Te 0.524 0.263 0.786
8 Te 0.480 0.239 0.214
9 Te 0.025 0.266 0.786
10 Te 0.520 0.761 0.786
11 Te 0.025 0.761 0.786
12 Te 0.975 0.239 0.214
13 Te 0.975 0.734 0.214

E_form (uncorrected) = -0.30 eV per atom
D(E_F) = 9.3 states/eV/f.u.
mass density = 6.54 Mg/m³

VASP calculation (PBE) on a relaxed structure of NbBiTe2.

abc: 4.688 5.713 8.652
angles: 90.00 90.00 114.32
Positions (direct):
1 Nb 0.771 0.543 0.750
2 Nb 0.229 0.457 0.250
3 Bi 0.923 0.845 0.250
4 Bi 0.077 0.155 0.750
5 Te 0.351 0.702 0.558
6 Te 0.649 0.298 0.442
7 Te 0.351 0.702 0.942
8 Te 0.649 0.298 0.058

E_form (uncorrected) = -0.02 eV per atom
D(E_F) = 2.3 states/eV/f.u.
mass density = 8.76 Mg/m³

VASP calculation (PBE) on a relaxed structure of Nb2BiTe4.

abc: 8.255 7.588 8.394
angles: 109.44 119.45 90.00
Positions (direct):
1 Nb 0.673 0.817 0.347
2 Nb 0.572 0.420 0.698
3 Nb 0.125 0.420 0.698
4 Nb 0.632 0.404 0.264
5 Bi 0.206 0.465 0.412
6 Bi 0.036 0.054 0.072
7 Te 0.833 0.649 0.665
8 Te 0.411 0.202 0.822
9 Te 0.868 0.122 0.324
10 Te 0.456 0.122 0.324
11 Te 0.864 0.180 0.727
12 Te 0.322 0.581 0.138
13 Te 0.816 0.581 0.138
14 Te 0.436 0.734 0.871

E_form (uncorrected) = -0.16 eV per atom
D(E_F) = 3.8 states/eV/f.u.
mass density = 7.11 Mg/m³

VASP calculation (PBE) on a relaxed structure of Nb3BiTe.

abc: 14.398 14.398 14.398
angles: 19.36 19.36 19.36
Positions (direct):
1 Nb 0.155 0.492 0.833
2 Nb 0.833 0.155 0.492
3 Nb 0.492 0.833 0.155
4 Nb 0.655 0.333 0.992
5 Nb 0.333 0.992 0.655
6 Nb 0.992 0.655 0.333
7 Bi 0.053 0.053 0.053
8 Bi 0.553 0.553 0.553
9 Te 0.438 0.438 0.438
10 Te 0.938 0.938 0.938

distance to the lowest polymorph of the same formula = 0.0000 eV/atom
E_form (uncorrected) = 0.55 eV per atom
D(E_F) = 6.1 states/eV/f.u.
mass density = 7.12 Mg/m³